# 1
Entry from the Alexandria database: a relaxed KZr2RuRh crystal (GGA-PBE).

```
5
Lattice="4.7738 0.0000 0.0000 0.0000 4.4201 0.0000 0.0000 0.0000 4.7738" Properties=species:S:1:pos:R:3 pbc="T T T"
Ru 2.3869 2.2101 2.3869
Zr 0.0000 0.0000 2.3869
Zr 2.3869 0.0000 0.0000
K 0.0000 0.0000 0.0000
Rh 0.0000 2.2101 0.0000
```

## Properties
ΔH_f (0 K), eV/atom: 2.06

***

# 2
Entry from the Alexandria database: a relaxed Tb6NdY2Er crystal (GGA-PBE).

```
20
Lattice="-1.0385 4.9850 -8.1430 -5.2240 -6.5769 -2.6449 -3.5948 6.2799 5.0180" Properties=species:S:1:pos:R:3 pbc="T T T"
Er -4.4162 9.6832 -1.2891
Er -5.4411 -4.9953 -4.4807
Tb -5.5904 -0.9610 -0.3791
Tb -3.3856 4.2272 3.0031
Tb -6.5937 7.3874 -2.8717
Tb -2.8883 6.8524 -2.7620
Tb -3.2636 -2.6994 -2.8981
Tb -4.9196 6.1184 0.1562
Tb -6.9690 -2.1645 -3.0077
Tb -4.0979 0.3922 -2.9668
Y -7.5761 5.1861 -5.6001
Nd -4.5170 2.2975 -0.1341
Tb -6.4716 0.4607 -8.7729
Tb -4.9376 -1.4304 -5.9260
Y -2.6363 3.2900 -3.4689
Y -2.2812 -0.4982 -0.1697
Nd -5.3403 2.3904 -5.6357
Y -7.2210 1.3980 -2.3009
Tb -5.7594 4.2958 -2.8030
Tb -4.2668 5.6490 -5.3907
```

## Properties
ΔH_f (0 K), eV/atom: 0.13

***

# 3
Entry from the Alexandria database: a relaxed CrMoRuPt crystal (GGA-PBE).

```
4
Lattice="-0.8262 -3.6646 0.4861 1.0297 -0.7247 -3.7128 3.6196 -0.6657 1.1338" Properties=species:S:1:pos:R:3 pbc="T T T"
Ru 0.1018 -2.1946 -1.6134
Mo 2.3247 -0.6952 -1.2895
Cr 1.3967 -2.1651 0.8099
Pt 0.0000 0.0000 0.0000
```

## Properties
ΔH_f (0 K), eV/atom: -0.13

***

# 4
Entry from the Alexandria database: a relaxed LiSmLuSc crystal (GGA-PBE).

```
4
Lattice="-1.3569 2.1676 -4.6807 -1.0933 -3.1354 -4.1740 -5.0102 -0.4192 -1.7806" Properties=species:S:1:pos:R:3 pbc="T T T"
Li 0.0000 0.0000 0.0000
Lu -5.5953 -1.0402 -7.9765
Sc -3.7302 -0.6935 -5.3177
Sm -1.8651 -0.3467 -2.6588
```

## Properties
ΔH_f (0 K), eV/atom: 0.16

***

# 5
Entry from the Alexandria database: a relaxed La3InO crystal (GGA-PBE).

```
10
Lattice="-3.1754 -5.9791 -2.1012 5.3186 -1.3235 -4.2717 4.2645 0.0698 5.2880" Properties=species:S:1:pos:R:3 pbc="T T T"
La 1.8499 -4.4687 3.6853
La 4.5069 -5.1299 1.5514
La 1.9007 -2.1029 -2.6363
O 1.6206 -0.6490 -0.6071
In 0.9900 -4.6761 -0.1445
La 3.7184 -5.4344 -2.1645
La 2.6892 -1.7984 1.0795
In 5.4176 -2.5566 -0.9404
La 4.5576 -2.7640 -4.7702
O 4.7870 -6.5837 -0.4778
```

## Properties
Uncorrected formation energy, meV per atom: -1274

***

# 6
Entry from the Alexandria database: a relaxed CdBr3 crystal (GGA-PBE).

```
8
Lattice="-6.4528 -3.4679 -7.9716 4.4308 -3.3939 9.2769 -3.6699 1.5207 2.3092" Properties=species:S:1:pos:R:3 pbc="T T T"
Cd -0.7716 -2.2700 7.1259
Cd -4.9202 -3.0711 -3.5115
Br -4.3984 -4.8789 -1.4915
Br -1.2935 -0.4622 5.1060
Br 1.4568 -2.2549 10.6575
Br -7.1486 -3.0862 -7.0431
Br -2.3632 -4.0923 5.7965
Br -3.3287 -1.2488 -2.1821
```

## Properties
Uncorrected formation energy, meV per atom: -477

***

# 7
Entry from the Alexandria database: a relaxed Tb2ScAlC crystal (GGA-PBE).

```
5
Lattice="-1.3757 2.9389 -3.1466 -3.7850 1.3070 2.8755 2.7795 3.5101 2.0632" Properties=species:S:1:pos:R:3 pbc="T T T"
Al -1.1906 3.8780 0.8960
C 0.0000 0.0000 0.0000
Tb 1.3897 1.7551 1.0316
Tb -1.8925 0.6535 1.4378
Sc -0.6879 1.4695 -1.5733
```

## Properties
ΔH_f (0 K), eV/atom: -0.43

***

# 8
Entry from the Alexandria database: a relaxed AsOs2Cl crystal (GGA-PBE).

```
4
Lattice="4.2090 0.0000 0.0000 0.0000 2.9343 -0.0177 0.0000 -0.2056 5.0837" Properties=species:S:1:pos:R:3 pbc="T T T"
Os 0.0000 -0.1554 5.0108
As 2.1045 0.6822 1.2665
Os 0.0000 1.3142 2.6058
Cl 2.1045 2.0465 3.7995
```

## Properties
Uncorrected formation energy, meV per atom: 1010
E above lowest polymorph, eV per atom: 0.732

***

# 9
Entry from the Alexandria database: a relaxed MnSb2S4 crystal (GGA-PBE).

```
7
Lattice="-3.6172 -0.0542 1.1905 0.8677 -6.5872 2.3366 3.1851 5.5038 3.8360" Properties=species:S:1:pos:R:3 pbc="T T T"
Sb -0.5273 -2.1922 4.3897
S 0.7104 -1.3961 2.0949
Sb 0.9629 1.0546 2.9735
S -0.2748 0.2585 5.2683
S 1.0616 4.0712 3.4105
Mn 0.0000 0.0000 0.0000
S -0.6260 -5.2088 3.9527
```

## Properties
Uncorrected formation energy, meV per atom: -264
E above lowest polymorph, eV per atom: 0.083

***

# 10
Entry from the Alexandria database: a relaxed Tb6MgIn3 crystal (GGA-PBE).

```
20
Lattice="5.3703 0.0000 0.0000 0.0000 8.8595 -2.9907 0.0000 0.0018 11.7286" Properties=species:S:1:pos:R:3 pbc="T T T"
In 4.0277 2.0169 -0.3765
Tb 4.0277 7.6752 7.2412
Mg 4.0277 0.3505 4.6896
Tb 1.3426 0.8107 10.0429
Tb 1.3426 4.0903 -0.3625
Tb 1.3426 1.1861 1.4967
Tb 1.3426 2.2335 5.0343
Tb 4.0277 6.6278 3.7036
In 1.3426 6.8444 9.1143
In 4.0277 5.5999 0.6806
Tb 4.0277 3.0078 2.7429
Tb 1.3426 7.4782 0.9712
Tb 4.0277 1.3831 7.7667
Mg 1.3426 8.5108 4.0483
Tb 1.3426 5.8535 5.9949
Tb 4.0277 4.7710 9.1004
In 1.3426 3.2614 8.0573
In 4.0277 4.0811 5.8645
Tb 4.0277 8.0506 -1.3050
In 1.3426 4.7802 2.8734
```

## Properties
ΔH_f (0 K), eV/atom: -0.29

***

# 11
Entry from the Alexandria database: a relaxed NaZnTeO2 crystal (GGA-PBE).

```
5
Lattice="-4.0160 0.7645 0.8613 -1.5258 -5.3113 -2.3996 0.4548 -1.8177 3.7341" Properties=species:S:1:pos:R:3 pbc="T T T"
O 0.2274 -0.9089 1.8670
O -2.0080 0.3823 0.4307
Te 0.0000 0.0000 0.0000
Na -0.7629 -2.6557 -1.1998
Zn -2.5435 -3.1823 1.0979
```

## Properties
Uncorrected formation energy, meV per atom: -248

***

# 12
Entry from the Alexandria database: a relaxed YCr2Co crystal (GGA-PBE).

```
4
Lattice="-0.8250 4.4028 -0.6785 -3.5149 2.8012 -0.5696 -1.0793 2.1341 4.7291" Properties=species:S:1:pos:R:3 pbc="T T T"
Co -4.0518 7.0149 3.0886
Cr -1.3920 2.3598 0.3228
Cr -1.0880 2.1483 4.7230
Y -2.6763 4.6183 1.8161
```

## Properties
ΔH_f (0 K), eV/atom: 0.40
E above lowest polymorph, eV per atom: 0.086

***

# 13
Entry from the Alexandria database: a relaxed Ag8SbS6 crystal (GGA-PBE).

```
30
Lattice="-3.9692 -6.4603 0.4634 3.9518 -2.8790 -6.2878 7.4343 -4.0978 6.5486" Properties=species:S:1:pos:R:3 pbc="T T T"
Ag 0.7326 -5.2086 -0.0652
Ag 0.5806 -8.6234 -3.7111
Sb 0.7346 -6.9758 3.6557
Ag 6.6813 -8.2809 0.0353
Ag 3.0529 -3.2450 0.5910
S 8.2140 -4.9351 2.3772
Ag -0.6759 -6.0861 -2.6830
Ag 2.9671 -7.1690 0.1024
S 2.9132 -4.3215 -4.1437
S 4.7021 -4.4044 4.9718
S 0.6555 -7.5472 -1.1772
S 0.5628 -4.7922 2.5479
Ag 5.4630 -4.1202 2.3404
S 2.6711 -8.1592 2.5060
Ag 2.4045 -6.4266 -2.7254
Ag 2.7031 -4.0299 3.5440
S 6.4008 -8.0447 2.6614
Ag 4.8008 -4.5184 -2.1901
Ag -1.7534 -6.9230 0.0026
S 4.3445 -9.3783 -0.1566
S 0.6349 -2.6616 -0.5186
Ag 6.0314 -11.1517 1.0383
Sb 1.0557 -3.0096 -3.0033
Ag 7.0808 -5.2989 -0.2337
S 4.5287 -5.1620 0.1649
Ag 3.8275 -9.5460 4.5451
S -1.3958 -7.8217 2.7041
Ag 5.4969 -6.4950 6.4286
S 4.4261 -8.7725 6.7984
Ag 4.4014 -6.6199 3.6629
```

## Properties
Uncorrected formation energy, meV per atom: -36
E above lowest polymorph, eV per atom: 0.000